# Rb2TlGeS4 | Alexandria via LeMat-Bulk | GGA-PBE | relaxed
data_Rb2TlGeS4
_symmetry_space_group_name_H-M 'I -4'
_symmetry_Int_Tables_number 82
_symmetry_space_group_name_Hall 'I -4'
_cell_length_a 7.752
_cell_length_b 7.752
_cell_length_c 8.672
_cell_angle_alpha 90.00
_cell_angle_beta 90.00
_cell_angle_gamma 90.00
loop_
_atom_site_label
_atom_site_fract_x
_atom_site_fract_y
_atom_site_fract_z
_atom_site_occupancy
Rb1 0.000 0.000 0.000 1
Rb2 0.000 0.500 0.250 1
Tl1 0.000 0.000 0.500 1
Ge1 0.000 0.500 0.750 1
S1 0.151 0.694 0.613 1
# Total energy in eV/atom: -3.866
# Calculated volume in A^3/atom: 32.6
# Crystal system: tetragonal
# Formation energy (no corrections) in meV per atom: -688
# Total magnetization in μB/f.u.: 0.716